No. 1
Entry from the Alexandria database: a relaxed structure of BaBi3 (PBE).

Computed properties:
Energy of formation from the pure elements: -0.4656 eV/atom
Total moment: 0.00 μB per cell
Mass density: 9.192 g/cm³
N(E_F): 2.04 states/eV per cell

Lattice parameters (Å, degrees): 5.168 5.168 5.168 90.00 90.00 90.00
Space group Pm-3m (No. 221)
Inequivalent atoms, fractional coordinates:
Ba 0.000 0.000 0.000
Bi 0.000 0.500 0.500

=====

No. 2
Entry from the Alexandria database: a relaxed structure of MnV2As (PBE).

Computed properties:
Energy of formation from the pure elements: -0.2248 eV/atom
Total moment: 1.85 μB per cell
Mass density: 7.310 g/cm³
N(E_F): 2.89 states/eV per cell

Lattice parameters (Å, degrees): 3.692 3.692 3.861 90.00 90.00 90.00
Space group P4/mmm (No. 123)
Inequivalent atoms, fractional coordinates:
Mn 0.000 0.000 0.000
V 0.000 0.500 0.500
As 0.500 0.500 0.000

=====

No. 3
Entry from the Alexandria database: a relaxed structure of Ce5Pa2Co4 (PBE).

Computed properties:
Energy of formation from the pure elements: -0.0824 eV/atom
Total moment: 0.00 μB per cell
Mass density: 9.589 g/cm³
N(E_F): 36.04 states/eV per cell

Lattice parameters (Å, degrees): 21.074 3.455 6.913 90.00 105.82 90.00
Space group C2/m (No. 12)
Inequivalent atoms, fractional coordinates:
Ce 0.000 0.000 0.000
Ce 0.170 0.500 0.393
Ce 0.170 0.500 0.915
Pa 0.079 0.000 0.571
Co 0.001 0.500 0.303
Co 0.229 0.000 0.726

=====

No. 4
Entry from the Alexandria database: a relaxed structure of Tl3C (PBE).

Computed properties:
Energy of formation from the pure elements: 1.0702 eV/atom
Total moment: 0.00 μB per cell
Energy above the most stable polymorph in this dataset: 0.4847 eV/atom
Mass density: 10.449 g/cm³
N(E_F): 1.37 states/eV per cell

Lattice parameters (Å, degrees): 3.6009 3.6009 8.8477 90.00 90.00 120.00
Space group P-6m2 (No. 187)
Inequivalent atoms, fractional coordinates:
Tl 0.0000 0.0000 0.0000
Tl 0.6667 0.3333 0.3270
C 0.0000 0.0000 0.5000

=====

Question: The highest total moment belongs to which entry?
Answer: MnV2As

=====

Question: Which formula does entry 4 have?
Answer: Tl3C